VASP calculation (meta-GGA SCAN) on TlIrS2N at its PBEsol-relaxed geometry.

Unit cell a=4.871 b=4.871 c=3.690 alpha=90.00 beta=90.00 gamma=90.00
Sites, in units of the cell vectors:
Tl (0.000, 0.000, 0.000)
Ir (0.500, 0.500, 0.000)
S (0.000, 0.500, 0.500)
S (0.500, 0.000, 0.500)
N (0.500, 0.500, 0.500)

## Properties
* excess energy over the best structure of this formula in the dataset: 3.36 eV/f.u.
* formation energy (no corrections): 0.97 eV per atom
* calculated volume: 88 Å³/cell
* spin magnetization: 0.00 μB per cell